[1]
# AcSbPb2 (PBE-GGA, relaxed)
# Total energy (eV/atom): -3.78
# Energy above the lowest structure with this stoichiometry (kcal/mol of atoms): 14.33
data_AcSbPb2
_cell_length_a 3.9677
_cell_length_b 3.9677
_cell_length_c 33.1742
_cell_angle_alpha 90.00
_cell_angle_beta 90.00
_cell_angle_gamma 120.00
_symmetry_space_group_name_H-M 'R -3 m'
_symmetry_Int_Tables_number 166
_symmetry_space_group_name_Hall '-R 3 2"'
loop_
_atom_site_label
_atom_site_fract_x
_atom_site_fract_y
_atom_site_fract_z
Ac1 0.0000 0.0000 0.0000
Sb1 0.0000 0.0000 0.5000
Pb1 0.0000 0.0000 0.1029

---

[2]
# Mg2MnSb2 (PBE-GGA, relaxed)
# Total energy (eV/atom): -4.12
# Energy above the lowest structure with this stoichiometry (kcal/mol of atoms): 0.00
data_Mg2MnSb2
_cell_length_a 7.290
_cell_length_b 7.290
_cell_length_c 4.363
_cell_angle_alpha 90.00
_cell_angle_beta 90.00
_cell_angle_gamma 90.00
_symmetry_space_group_name_H-M 'P 4/m b m'
_symmetry_Int_Tables_number 127
_symmetry_space_group_name_Hall '-P 4 2ab'
loop_
_atom_site_label
_atom_site_fract_x
_atom_site_fract_y
_atom_site_fract_z
Mg1 0.155 0.345 0.000
Mn1 0.000 0.000 0.500
Sb1 0.159 0.659 0.500

---

Formation energy without anion corrections, respectively: 0.542 0.027 eV per formula unit.
M_tot, respectively: 0.000 6.239 μB/cell.